Record 1
The following is a PBE calculation of a relaxed structure of PrHfBe, from OQMD.

Calculated values
Total moment in μB/atom: 0.19
Symmetry: No. 216
Distance to the lowest polymorph of the same formula in eV per atom: 0.263
Mass density in Mg/m³: 7.2
Calculated total energy in eV for the cell shown: -14.38

a = 4.7484 Å, b = 4.7484 Å, c = 4.7484 Å
α = 60.00°, β = 60.00°, γ = 60.00°
With the nearest neighbours (Å) after each atom.
Fractional positions:
Be (0.2500, 0.2500, 0.2500)  4 Pr 2.91
Pr (0.0000, 0.0000, 0.0000)  4 Hf 2.91, 4 Be 2.91
Hf (0.7500, 0.7500, 0.7500)  4 Pr 2.91

***

Record 2
The following is a PBE calculation of a relaxed structure of GdInPd, from OQMD.

Calculated values
Total moment in μB/atom: 0.00
Symmetry: No. 189
Mass density in Mg/m³: 9.5
Calculated total energy in eV for the cell shown: -45.01

a = 7.5081 Å, b = 7.5081 Å, c = 4.0798 Å
α = 90.00°, β = 90.00°, γ = 120.00°
With the nearest neighbours (Å) after each atom.
Fractional positions:
Gd (0.0000, 0.5885, 0.0000)  5 Pd 3.05-3.09, 6 In 3.24-3.38
Pd (0.3333, 0.6667, 0.5000)  3 In 2.85, 6 Gd 3.05
In (0.7467, 0.7467, 0.5000)  4 Pd 2.79-2.85
Pd (0.6667, 0.3333, 0.5000)  3 In 2.85, 6 Gd 3.05
Gd (0.4115, 0.4115, 0.0000)  5 Pd 3.05-3.09, 6 In 3.24-3.38
Gd (0.5885, 0.0000, 0.0000)  5 Pd 3.05-3.09, 6 In 3.24-3.38
In (0.0000, 0.2533, 0.5000)  4 Pd 2.79-2.85
In (0.2533, 0.0000, 0.5000)  4 Pd 2.79-2.85
Pd (0.0000, 0.0000, 0.0000)  6 In 2.79, 3 Gd 3.09

***

Record 3
The following is a PBE calculation of a relaxed structure of ZrZnAgPt, from OQMD.

Calculated values
Total moment in μB/atom: 0.00
Symmetry: No. 216
Distance to the lowest polymorph of the same formula in eV per atom: 0.135
Mass density in Mg/m³: 11.2
Calculated total energy in eV for the cell shown: -20.08
Energy of formation from the pure elements in eV per atom: -0.35

a = 4.5856 Å, b = 4.5856 Å, c = 4.5856 Å
α = 60.00°, β = 60.00°, γ = 60.00°
With the nearest neighbours (Å) after each atom.
Fractional positions:
Zr (0.7500, 0.7500, 0.7500)  4 Ag 2.81, 4 Zn 2.81
Pt (0.2500, 0.2500, 0.2500)  4 Zn 2.81, 4 Ag 2.81
Zn (0.0000, 0.0000, 0.0000)  4 Pt 2.81, 4 Zr 2.81
Ag (0.5000, 0.5000, 0.5000)  4 Zr 2.81, 4 Pt 2.81